(1)
# PBE Sm2I3, relaxed
# * formation energy without anion corrections: -4.77 eV per formula unit
# * symmetry: No. 167
data_Sm2I3
_symmetry_space_group_name_H-M 'P 1'
_symmetry_Int_Tables_number 1
_cell_length_a 7.245
_cell_length_b 7.245
_cell_length_c 9.137
_cell_angle_alpha 66.64
_cell_angle_beta 66.64
_cell_angle_gamma 60.00
loop_
_symmetry_equiv_pos_as_xyz
'x,y,z'
loop_
_atom_site_label
_atom_site_type_symbol
_atom_site_fract_x
_atom_site_fract_y
_atom_site_fract_z
I1 I 0.093 0.750 0.750
I2 I 0.407 0.093 0.750
I3 I 0.907 0.250 0.250
I4 I 0.250 0.593 0.250
I5 I 0.750 0.407 0.750
I6 I 0.593 0.907 0.250
Sm1 Sm 0.671 0.671 0.988
Sm2 Sm 0.171 0.171 0.488
Sm3 Sm 0.329 0.329 0.012
Sm4 Sm 0.829 0.829 0.512


(2)
# PBE Er5AlTe4, relaxed
# * formation energy without anion corrections: -10.77 eV per formula unit
# * symmetry: No. 87
data_Er5AlTe4
_symmetry_space_group_name_H-M 'P 1'
_symmetry_Int_Tables_number 1
_cell_length_a 6.081
_cell_length_b 7.487
_cell_length_c 7.487
_cell_angle_alpha 80.51
_cell_angle_beta 66.04
_cell_angle_gamma 66.04
loop_
_symmetry_equiv_pos_as_xyz
'x,y,z'
loop_
_atom_site_label
_atom_site_type_symbol
_atom_site_fract_x
_atom_site_fract_y
_atom_site_fract_z
Er1 Er 0.502 0.000 0.000
Er2 Er 0.097 0.623 0.184
Er3 Er 0.281 0.816 0.623
Er4 Er 0.904 0.377 0.816
Er5 Er 0.720 0.184 0.377
Te1 Te 0.196 0.212 0.398
Te2 Te 0.806 0.788 0.602
Te3 Te 0.594 0.602 0.212
Te4 Te 0.408 0.398 0.788
Al1 Al 0.002 0.000 0.000


(3)
# PBE YTa3As, relaxed
# * symmetry: No. 221
# * DFT formation energy: 0.53 eV/atom
# * energy above the most stable polymorph in this dataset: 0.0 meV per atom
data_YTa3As
_symmetry_space_group_name_H-M 'P 1'
_symmetry_Int_Tables_number 1
_cell_length_a 4.837
_cell_length_b 4.837
_cell_length_c 4.837
_cell_angle_alpha 90.00
_cell_angle_beta 90.00
_cell_angle_gamma 90.00
loop_
_symmetry_equiv_pos_as_xyz
'x,y,z'
loop_
_atom_site_label
_atom_site_type_symbol
_atom_site_fract_x
_atom_site_fract_y
_atom_site_fract_z
Y1 Y 0.500 0.500 0.500
Ta1 Ta 0.000 0.000 0.500
Ta2 Ta 0.500 0.000 0.000
Ta3 Ta 0.000 0.500 0.000
As1 As 0.000 0.000 0.000


Question: Number 3 is which compound?
Answer: YTa3As


Repeat the third record exactly.
# PBE YTa3As, relaxed
# * symmetry: No. 221
# * DFT formation energy: 0.53 eV/atom
# * energy above the most stable polymorph in this dataset: 0.0 meV per atom
data_YTa3As
_symmetry_space_group_name_H-M 'P 1'
_symmetry_Int_Tables_number 1
_cell_length_a 4.837
_cell_length_b 4.837
_cell_length_c 4.837
_cell_angle_alpha 90.00
_cell_angle_beta 90.00
_cell_angle_gamma 90.00
loop_
_symmetry_equiv_pos_as_xyz
'x,y,z'
loop_
_atom_site_label
_atom_site_type_symbol
_atom_site_fract_x
_atom_site_fract_y
_atom_site_fract_z
Y1 Y 0.500 0.500 0.500
Ta1 Ta 0.000 0.000 0.500
Ta2 Ta 0.500 0.000 0.000
Ta3 Ta 0.000 0.500 0.000
As1 As 0.000 0.000 0.000